Entry w
Entry from OQMD: an optimized crystal structure of ScOsAu (PBE).

The magnetic moment comes out at 0.004 μB/atom. Its space group is P4/mmm (123). Its volume is 104 Å³/cell. The mass density is 13.853 g/cm³.

a b c (Å): 3.435 3.435 8.779
angles (deg): 90.00 90.00 90.00
Fractional positions:
Os: 0.500 0.500 0.646
Os: 0.500 0.500 0.354
Sc: 0.500 0.500 0.000
Sc: 0.000 0.000 0.500
Au: 0.000 0.000 0.827
Au: 0.000 0.000 0.173


Entry x
Entry from OQMD: an optimized crystal structure of ScOsAu (PBE).

The magnetic moment comes out at 0.005 μB/atom. Its space group is I4mm (107). Its volume is 51 Å³/cell. The mass density is 13.955 g/cm³.

a b c (Å): 5.177 5.177 5.177
angles (deg): 142.35 142.35 54.31
Fractional positions:
Sc: 0.991 0.991 0.000
Os: 0.342 0.342 0.000
Au: 0.667 0.667 0.000


Stability check: which of them is most stable? entry w.


Entry w
Entry from OQMD: an optimized crystal structure of UOsAu (PBE).

The magnetic moment comes out at 0.381 μB/atom. Its space group is F-43m (216). Its volume is 67 Å³/cell. The mass density is 15.512 g/cm³.

a b c (Å): 4.557 4.557 4.557
angles (deg): 60.00 60.00 60.00
Fractional positions:
Os: 0.000 0.000 0.000
Au: 0.250 0.250 0.250
U: 0.750 0.750 0.750


Entry x
Entry from OQMD: an optimized crystal structure of UOsAu (PBE).

The magnetic moment comes out at 0.336 μB/atom. Its space group is F-43m (216). Its volume is 69 Å³/cell. The mass density is 15.109 g/cm³.

a b c (Å): 4.598 4.598 4.598
angles (deg): 60.00 60.00 60.00
Last column: magnetic moment on the atom in μB.
Fractional positions:
Au: 0.000 0.000 0.000  -0.01
U: 0.250 0.250 0.250  1.19
Os: 0.500 0.500 0.500  -0.26


Stability check: which of them is most stable? entry w.


Entry w
Entry from OQMD: an optimized crystal structure of TaPAu3 (PBE).

The magnetic moment comes out at 0.000 μB/atom. Its space group is P-6c2 (188). Its volume is 188 Å³/cell. The mass density is 14.149 g/cm³.

a b c (Å): 6.392 6.392 5.325
angles (deg): 90.00 90.00 120.00
Fractional positions:
Ta: 0.667 0.333 0.500
Ta: 0.667 0.333 0.000
Au: 0.077 0.404 0.750
Au: 0.596 0.923 0.250
Au: 0.327 0.404 0.250
Au: 0.596 0.673 0.750
Au: 0.327 0.923 0.750
Au: 0.077 0.673 0.250
P: 0.000 0.000 0.000
P: 0.000 0.000 0.500


Entry x
Entry from OQMD: an optimized crystal structure of TaPAu3 (PBE).

The magnetic moment comes out at 0.079 μB/atom. Its space group is Pm-3m (221). Its volume is 100 Å³/cell. The mass density is 13.349 g/cm³.

a b c (Å): 4.639 4.639 4.639
angles (deg): 90.00 90.00 90.00
Last column: magnetic moment on the atom in μB.
Fractional positions:
Au: 0.000 0.500 0.000  -0.01
Au: 0.000 0.000 0.500  -0.01
Au: 0.500 0.000 0.000  -0.01
Ta: 0.500 0.500 0.500  0.29
P: 0.000 0.000 0.000  0.00


Stability check: which of them is most stable? entry w.


Entry w
Entry from OQMD: an optimized crystal structure of PaPdAu (PBE).

The magnetic moment comes out at 0.111 μB/atom. Its space group is F-43m (216). Its volume is 75 Å³/cell. The mass density is 11.882 g/cm³.

a b c (Å): 4.727 4.727 4.727
angles (deg): 60.00 60.00 60.00
Last column: magnetic moment on the atom in μB.
Fractional positions:
Au: 0.500 0.500 0.500  0.00
Pa: 0.250 0.250 0.250  0.27
Pd: 0.000 0.000 0.000  -0.01


Entry x
Entry from OQMD: an optimized crystal structure of PaPdAu (PBE).

The magnetic moment comes out at 0.520 μB/atom. Its space group is F-43m (216). Its volume is 71 Å³/cell. The mass density is 12.556 g/cm³.

a b c (Å): 4.641 4.641 4.641
angles (deg): 60.00 60.00 60.00
Last column: magnetic moment on the atom in μB.
Fractional positions:
Pd: 0.000 0.000 0.000  0.02
Au: 0.250 0.250 0.250  0.07
Pa: 0.750 0.750 0.750  1.10


Stability check: which of them is most stable? entry x.


Entry w
Entry from OQMD: an optimized crystal structure of PaTaAu (PBE).

The magnetic moment comes out at 0.441 μB/atom. Its space group is F-43m (216). Its volume is 76 Å³/cell. The mass density is 13.392 g/cm³.

a b c (Å): 4.744 4.744 4.744
angles (deg): 60.00 60.00 60.00
Fractional positions:
Ta: 0.750 0.750 0.750
Au: 0.250 0.250 0.250
Pa: 0.000 0.000 0.000


Entry x
Entry from OQMD: an optimized crystal structure of PaTaAu (PBE).

The magnetic moment comes out at 0.521 μB/atom. Its space group is F-43m (216). Its volume is 74 Å³/cell. The mass density is 13.621 g/cm³.

a b c (Å): 4.718 4.718 4.718
angles (deg): 60.00 60.00 60.00
Last column: magnetic moment on the atom in μB.
Fractional positions:
Pa: 0.250 0.250 0.250  0.58
Au: 0.000 0.000 0.000  0.04
Ta: 0.750 0.750 0.750  0.60


Stability check: which of them is most stable? entry x.


Entry w
Entry from OQMD: an optimized crystal structure of Pb2Au7 (PBE).

Its space group is C2/m (12). Its volume is 374 Å³/cell. The mass density is 15.921 g/cm³.

a b c (Å): 5.563 5.563 14.064
angles (deg): 93.55 93.55 120.00
Fractional positions:
Pb: 0.211 0.211 0.106
Pb: 0.292 0.292 0.394
Pb: 0.708 0.708 0.606
Pb: 0.789 0.789 0.894
Au: 0.470 0.141 0.923
Au: 0.031 0.360 0.576
Au: 0.750 0.309 0.750
Au: 0.190 0.190 0.750
Au: 0.969 0.640 0.424
Au: 0.859 0.530 0.077
Au: 0.640 0.969 0.424
Au: 0.309 0.750 0.750
Au: 0.141 0.470 0.923
Au: 0.691 0.250 0.250
Au: 0.360 0.031 0.576
Au: 0.810 0.810 0.250
Au: 0.530 0.859 0.077
Au: 0.250 0.691 0.250


Entry x
Entry from OQMD: an optimized crystal structure of Pb2Au7 (PBE).

Its space group is P-3m1 (164). Its volume is 258 Å³/cell. The mass density is 11.536 g/cm³.

a b c (Å): 3.095 3.095 31.120
angles (deg): 90.00 90.00 59.98
Fractional positions:
Au: 0.333 0.333 0.572
Au: 0.000 0.000 0.717
Au: 0.000 0.000 0.500
Au: 0.667 0.667 0.644
Au: 0.333 0.333 0.356
Au: 0.000 0.000 0.283
Au: 0.667 0.667 0.428
Pb: 0.333 0.333 0.798
Pb: 0.667 0.667 0.202


Stability check: which of them is most stable? entry w.